Record 1
# CsCaCo3 | Alexandria | GGA-PBE | optimized geometry
data_CsCaCo3
_chemical_formula_sum 'Cs1 Ca1 Co3'
_cell_length_a 5.019
_cell_length_b 5.019
_cell_length_c 5.019
_cell_angle_alpha 90.00
_cell_angle_beta 90.00
_cell_angle_gamma 90.00
_symmetry_space_group_name_H-M 'P m -3 m'
_symmetry_Int_Tables_number 221
_symmetry_space_group_name_Hall '-P 4 2 3'
loop_
_atom_site_label
_atom_site_fract_x
_atom_site_fract_y
_atom_site_fract_z
Cs1 0.000 0.000 0.000
Ca1 0.500 0.500 0.500
Co1 0.000 0.500 0.500
# total DFT energy (no corrections) = -3.029 eV/atom
# ΔE_f = 1.81 eV/atom

=====

Record 2
# CsCa3Co | Alexandria | GGA-PBE | optimized geometry
data_CsCa3Co
_chemical_formula_sum 'Cs1 Ca3 Co1'
_cell_length_a 5.756
_cell_length_b 5.756
_cell_length_c 5.756
_cell_angle_alpha 90.00
_cell_angle_beta 90.00
_cell_angle_gamma 90.00
_symmetry_space_group_name_H-M 'P m -3 m'
_symmetry_Int_Tables_number 221
_symmetry_space_group_name_Hall '-P 4 2 3'
loop_
_atom_site_label
_atom_site_fract_x
_atom_site_fract_y
_atom_site_fract_z
Cs1 0.000 0.000 0.000
Ca1 0.000 0.000 0.500
Co1 0.500 0.500 0.500
# total DFT energy (no corrections) = -0.986 eV/atom
# ΔE_f = 1.81 eV/atom

=====

Record 3
# CsCa2Co | Alexandria | GGA-PBE | optimized geometry
data_CsCa2Co
_chemical_formula_sum 'Cs4 Ca8 Co4'
_cell_length_a 8.065
_cell_length_b 8.065
_cell_length_c 8.065
_cell_angle_alpha 90.00
_cell_angle_beta 90.00
_cell_angle_gamma 90.00
_symmetry_space_group_name_H-M 'F m -3 m'
_symmetry_Int_Tables_number 225
_symmetry_space_group_name_Hall '-F 4 2 3'
loop_
_atom_site_label
_atom_site_fract_x
_atom_site_fract_y
_atom_site_fract_z
Cs1 0.000 0.000 0.000
Ca1 0.250 0.250 0.250
Co1 0.000 0.000 0.500
# total DFT energy (no corrections) = -2.209 eV/atom
# ΔE_f = 0.78 eV/atom

=====

Record 4
# CsCa2Co | Alexandria | GGA-PBE | optimized geometry
data_CsCa2Co
_chemical_formula_sum 'Cs4 Ca8 Co4'
_cell_length_a 8.147
_cell_length_b 8.147
_cell_length_c 11.497
_cell_angle_alpha 90.00
_cell_angle_beta 90.00
_cell_angle_gamma 90.00
_symmetry_space_group_name_H-M 'I -4 2 d'
_symmetry_Int_Tables_number 122
_symmetry_space_group_name_Hall 'I -4 2bw'
loop_
_atom_site_label
_atom_site_fract_x
_atom_site_fract_y
_atom_site_fract_z
Cs1 0.000 0.000 0.000
Ca1 0.002 0.250 0.625
Co1 0.000 0.000 0.500
# total DFT energy (no corrections) = -2.464 eV/atom
# ΔE_f = 0.53 eV/atom

=====

Record 5
# CsCaCo3 | Alexandria | GGA-PBE | optimized geometry
data_CsCaCo3
_chemical_formula_sum 'Cs1 Ca1 Co3'
_cell_length_a 4.815
_cell_length_b 4.815
_cell_length_c 4.815
_cell_angle_alpha 90.00
_cell_angle_beta 90.00
_cell_angle_gamma 90.00
_symmetry_space_group_name_H-M 'P m -3 m'
_symmetry_Int_Tables_number 221
_symmetry_space_group_name_Hall '-P 4 2 3'
loop_
_atom_site_label
_atom_site_fract_x
_atom_site_fract_y
_atom_site_fract_z
Cs1 0.000 0.000 0.000
Ca1 0.500 0.500 0.500
Co1 0.000 0.000 0.500
# total DFT energy (no corrections) = -2.922 eV/atom
# ΔE_f = 1.91 eV/atom

=====

Record 6
# CsCa3Co | Alexandria | GGA-PBE | optimized geometry
data_CsCa3Co
_chemical_formula_sum 'Cs1 Ca3 Co1'
_cell_length_a 5.756
_cell_length_b 5.756
_cell_length_c 5.756
_cell_angle_alpha 90.00
_cell_angle_beta 90.00
_cell_angle_gamma 90.00
_symmetry_space_group_name_H-M 'P m -3 m'
_symmetry_Int_Tables_number 221
_symmetry_space_group_name_Hall '-P 4 2 3'
loop_
_atom_site_label
_atom_site_fract_x
_atom_site_fract_y
_atom_site_fract_z
Cs1 0.000 0.000 0.000
Ca1 0.000 0.500 0.500
Co1 0.500 0.500 0.500
# total DFT energy (no corrections) = -2.502 eV/atom
# ΔE_f = 0.29 eV/atom

=====

Record 7
# CsCaCoCu2 | Alexandria | GGA-PBE | optimized geometry
data_CsCaCoCu2
_chemical_formula_sum 'Cs1 Ca1 Co1 Cu2'
_cell_length_a 5.435
_cell_length_b 5.435
_cell_length_c 7.953
_cell_angle_alpha 90.00
_cell_angle_beta 90.00
_cell_angle_gamma 90.00
_symmetry_space_group_name_H-M 'P 4/m m m'
_symmetry_Int_Tables_number 123
_symmetry_space_group_name_Hall '-P 4 2'
loop_
_atom_site_label
_atom_site_fract_x
_atom_site_fract_y
_atom_site_fract_z
Cs1 0.000 0.000 0.000
Ca1 0.000 0.000 0.500
Co1 0.500 0.500 0.000
Cu1 0.000 0.500 0.500
# total DFT energy (no corrections) = -2.215 eV/atom
# ΔE_f = 1.42 eV/atom

=====

| no. | DOS at the Fermi energy (states/eV per cell) |
| --- | --- |
| 1 | 7.31 |
| 2 | 21.09 |
| 3 | 26.80 |
| 4 | 2.38 |
| 5 | 5.32 |
| 6 | 5.97 |
| 7 | 3.03 |